Crystalline Pr6InSi2I3 at its relaxed geometry. Source: Alexandria, functional GGA-PBE.

Output
**Uncorrected formation energy**: -844.8 meV per atom
**Crystal system**: monoclinic
**Calculated total energy**: -114.099 eV for the cell shown

Lattice parameters (Å, degrees): 20.0995 4.3482 9.4330 90.00 106.12 90.00
Space group C2/m (No. 12)
Unique sites:
Pr 0.0158 0.0000 0.2478 [4 per cell]
Pr 0.1637 0.5000 0.1270 [4 per cell]
Pr 0.1787 0.5000 0.5592 [4 per cell]
In 0.0000 0.5000 0.0000 [2 per cell]
Si 0.1683 0.0000 0.3403 [4 per cell]
I 0.0000 0.5000 0.5000 [2 per cell]
I 0.1651 0.0000 0.8342 [4 per cell]


Crystalline NaTl2Cl2 at its relaxed geometry. Source: Alexandria, functional GGA-PBE.

Output
**Uncorrected formation energy**: -896.1 meV per atom
**Crystal system**: tetragonal
**Calculated total energy**: -28.450 eV for the cell shown

Lattice parameters (Å, degrees): 7.3513 7.3513 5.3971 90.00 90.00 90.00
Space group P4/mbm (No. 127)
Unique sites:
Na 0.0000 0.0000 0.0000 [2 per cell]
Tl 0.1718 0.3282 0.5000 [4 per cell]
Cl 0.1758 0.6758 0.0000 [4 per cell]


Crystalline PaIr2 at its relaxed geometry. Source: Alexandria, functional GGA-PBE.

Output
**ΔH_f (0 K)**: -228 kJ/mol of formula units
**Crystal system**: cubic
**Calculated total energy**: -236.673 eV for the cell shown

Lattice parameters (Å, degrees): 7.5792 7.5792 7.5792 90.00 90.00 90.00
Space group Fd-3m (No. 227, origin choice 2)
Unique sites:
Pa 0.1250 0.1250 0.1250 [8 per cell]
Ir 0.0000 0.0000 0.5000 [16 per cell]


Crystalline Ga2CO at its relaxed geometry. Source: Alexandria, functional GGA-PBE.

Output
**Uncorrected formation energy**: 713.9 meV per atom
**Crystal system**: cubic
**Calculated total energy**: -69.520 eV for the cell shown

Lattice parameters (Å, degrees): 5.5398 5.5398 5.5398 90.00 90.00 90.00
Space group Fm-3m (No. 225)
Unique sites:
Ga 0.2500 0.2500 0.2500 [8 per cell]
C 0.0000 0.0000 0.0000 [4 per cell]
O 0.0000 0.0000 0.5000 [4 per cell]